{
  "formula": "CsBe2WF8",
  "functional": "GGA+U",
  "state": "relaxed",
  "lattice_angstrom": [[5.1073, 0.0000, 0.0000], [2.5536, 4.4230, 0.0000], [2.5536, 1.4743, 8.6749]],
  "species": ["Cs", "Be", "Be", "W", "F", "F", "F", "F", "F", "F", "F", "F"],
  "frac_coords": [[0.5000, 0.5000, 0.5000], [0.2625, 0.2625, 0.2126], [0.7375, 0.7375, 0.7874], [0.0000, 0.0000, 0.0000], [0.2050, 0.2050, 0.3849], [0.5907, 0.2496, 0.1452], [0.7950, 0.7950, 0.6151], [0.0145, 0.5907, 0.1452], [0.9855, 0.4093, 0.8548], [0.2496, 0.0145, 0.1452], [0.7504, 0.9855, 0.8548], [0.4093, 0.7504, 0.8548]],
  "dos_at_fermi_per_ev_atom": 0.000,
  "sg": "R-3",
  "vol_a3_per_atom": 16.33,
  "e_tot_ry_per_atom": -0.408
}